Density functional theory data (GGA+U) for a relaxed NiPtRhO6 crystal.

Values from the calculation:
E_tot	-5.619	eV per atom
volume	11.0	A^3/atom
magnetization	4.64	μB/f.u.

a = 5.1581 Å, b = 5.1581 Å, c = 8.6160 Å
α = 90.00°, β = 90.00°, γ = 120.00°
Space group P-31c (No. 163)
Asymmetric unit:
Ni 0.0000 0.0000 0.0000 [2 per cell]
Pt 0.3333 0.6667 0.2500 [2 per cell]
Rh 0.3333 0.6667 0.7500 [2 per cell]
O 0.0023 0.3484 0.6263 [12 per cell]